# HfMnIn2O6 (PBE+U, optimized geometry)
data_HfMnIn2O6
_cell_length_a 5.5082
_cell_length_b 5.5082
_cell_length_c 14.7302
_cell_angle_alpha 90.00
_cell_angle_beta 90.00
_cell_angle_gamma 120.00
_symmetry_space_group_name_H-M 'R 3'
_symmetry_Int_Tables_number 146
_symmetry_space_group_name_Hall 'R 3'
loop_
_atom_site_label
_atom_site_fract_x
_atom_site_fract_y
_atom_site_fract_z
Hf1 0.0000 0.0000 0.0000
Mn1 0.0000 0.0000 0.5060
In1 0.0000 0.0000 0.2893
In2 0.0000 0.0000 0.7892
O1 0.0326 0.3489 0.0623
O2 0.0453 0.6694 0.5668
# - Electronic total energy: -7.401 eV per atom